Below is a relaxed NaAg3Te3 crystal, with properties calculated at the PBE level.

Geometry as CIF:
```
data_NaAg3Te3
_cell_length_a 7.6663
_cell_length_b 7.6663
_cell_length_c 23.8993
_cell_angle_alpha 90.00
_cell_angle_beta 90.00
_cell_angle_gamma 120.00
_symmetry_space_group_name_H-M 'R -3'
_symmetry_Int_Tables_number 148
_symmetry_space_group_name_Hall '-R 3'
loop_
_atom_site_label
_atom_site_fract_x
_atom_site_fract_y
_atom_site_fract_z
Na1 0.0000 0.0000 0.1670
Ag1 0.0026 0.6593 0.3680
Te1 0.0017 0.6757 0.5815
```

The value obtained for the size of the total moment is 0.0 μB/f.u. For the energy above the most stable polymorph in this dataset, the calculation gives 0 meV per atom. The uncorrected formation energy is -189 meV/atom.